{
  "formula": "La2RhN",
  "functional": "meta-GGA SCAN",
  "state": "PBEsol geometry",
  "formation_energy_uncorrected_ev_per_atom": -0.50,
  "total_energy_ry_per_atom": -2.4122,
  "lattice": [[6.742, 0.000, 0.000], [0.000, 6.742, 0.000], [0.000, 0.000, 6.742]],
  "species": ["La", "La", "La", "La", "La", "La", "La", "La", "Rh", "Rh", "Rh", "Rh", "N", "N", "N", "N"],
  "fractional_positions": [[0.250, 0.250, 0.250], [0.250, 0.250, 0.750], [0.250, 0.750, 0.250], [0.250, 0.750, 0.750], [0.750, 0.250, 0.250], [0.750, 0.250, 0.750], [0.750, 0.750, 0.250], [0.750, 0.750, 0.750], [0.000, 0.000, 0.000], [0.000, 0.500, 0.500], [0.500, 0.000, 0.500], [0.500, 0.500, 0.000], [0.000, 0.000, 0.500], [0.000, 0.500, 0.000], [0.500, 0.000, 0.000], [0.500, 0.500, 0.500]]
}